1.
Computed, not measured: crystalline HoBS3 at its relaxed geometry at the PBE level of DFT.

Geometry as extended XYZ:
```
20
Lattice="-1.0954 -3.1865 -5.8104 9.0629 -4.4991 0.7588 -1.9371 -3.0975 4.7703" Properties=species:S:1:pos:R:3 pbc="T T T"
Ho 4.9397 -4.0931 -1.1254
S 2.1076 -3.4359 -1.0728
B 4.7465 -7.0513 -2.4752
S 6.2755 -4.0890 1.4301
S 3.3164 -5.8387 -2.2610
Ho 1.0907 -6.6899 0.8441
B 4.5441 -8.9804 -0.0259
S 5.4583 -5.7128 3.8280
S 3.9229 -7.3472 0.7915
S 0.5722 -5.0702 -4.1092
S 2.7140 -4.9443 1.9797
Ho -0.5615 -3.8402 -1.7605
S 6.3010 -6.4982 -1.4757
B 1.4863 -1.8026 -0.2554
S -0.2706 -4.2848 1.1944
S -0.2451 -6.6940 -1.7114
Ho 6.5920 -6.9428 1.4792
S -0.2973 -1.4198 -0.7387
B 1.2839 -3.7317 2.1940
S 6.3278 -9.3632 0.4574
```

M_tot = 0.00 μB/f.u.
Calculated volume = 18.86 Å³ per atom
Raw total energy = -116.0 eV/cell

***

2.
Computed, not measured: crystalline LiCdCuGe at its relaxed geometry at the PBE level of DFT.

Geometry as extended XYZ:
```
4
Lattice="0.0000 3.1933 3.1933 3.1933 0.0000 3.1933 3.1933 3.1933 0.0000" Properties=species:S:1:pos:R:3 pbc="T T T"
Cu 4.7900 4.7900 4.7900
Ge 0.0000 0.0000 0.0000
Li 3.1933 3.1933 3.1933
Cd 1.5967 1.5967 1.5967
```

Calculated volume = 16.28 Å³ per atom
Raw total energy = -11.3 eV/cell
Polymorph energy (0 for the lowest one) = 56 meV per atom

***

3.
Computed, not measured: crystalline TaAl5 at its relaxed geometry at the PBE level of DFT.

Geometry as extended XYZ:
```
24
Lattice="5.2456 0.0000 0.0000 -2.6228 4.5428 0.0000 0.0000 0.0000 17.6001" Properties=species:S:1:pos:R:3 pbc="T T T"
Al 0.0000 3.0285 11.3387
Al 0.0000 3.0285 15.0614
Al 2.6228 1.5143 2.5387
Al 1.3114 2.2714 0.0000
Al 0.0000 1.5132 4.4000
Al 0.0000 0.0000 15.7296
Al -1.3114 2.2714 8.8000
Al 1.3105 0.7566 13.2001
Ta 0.0000 3.0285 6.6606
Al 0.0000 0.0000 6.9296
Al 2.6228 0.0000 0.0000
Al 0.0000 0.0000 10.6705
Al 2.6228 3.0296 13.2001
Al 3.9351 0.7566 13.2001
Al -1.3123 3.7862 4.4000
Ta 2.6228 1.5143 10.9395
Al 1.3114 2.2714 8.8000
Ta 2.6228 1.5143 15.4606
Al 2.6228 0.0000 8.8000
Al 0.0000 0.0000 1.8705
Ta 0.0000 3.0285 2.1395
Al 2.6228 1.5143 6.2613
Al -1.3114 2.2714 0.0000
Al 1.3123 3.7862 4.4000
```

M_tot = 0.00 μB/f.u.
Calculated volume = 17.48 Å³ per atom
Raw total energy = -121.9 eV/cell
Polymorph energy (0 for the lowest one) = 87 meV per atom

***

4.
Computed, not measured: crystalline NaHoCoSe3 at its relaxed geometry at the PBE level of DFT.

Geometry as extended XYZ:
```
12
Lattice="-1.2929 -0.7360 -3.6872 0.8398 -6.9248 -1.0558 -9.8370 -1.7729 3.8031" Properties=species:S:1:pos:R:3 pbc="T T T"
Co -7.9458 -2.0433 1.0503
Co -2.3442 -7.3904 -1.9902
Se -0.9503 -5.6463 -2.8271
Se -5.9017 -3.1678 0.5580
Se -4.3883 -6.2660 -1.4979
Na -7.9464 -5.2604 -0.4510
Se -9.3397 -3.7874 1.8872
Se -6.7747 -7.2096 1.6710
Na -2.3436 -4.1734 -0.4889
Ho 0.0000 0.0000 0.0000
Ho -4.9185 -0.8865 1.9016
Se -3.5153 -2.2241 -2.6108
```

M_tot = 2.86 μB/f.u.
Calculated volume = 23.99 Å³ per atom
Raw total energy = -59.9 eV/cell
Polymorph energy (0 for the lowest one) = 15 meV per atom

***

Which of these has the highest calculated volume?
NaHoCoSe3

***

What did the fourth record say?
Computed, not measured: crystalline NaHoCoSe3 at its relaxed geometry at the PBE level of DFT.

Geometry as extended XYZ:
```
12
Lattice="-1.2929 -0.7360 -3.6872 0.8398 -6.9248 -1.0558 -9.8370 -1.7729 3.8031" Properties=species:S:1:pos:R:3 pbc="T T T"
Co -7.9458 -2.0433 1.0503
Co -2.3442 -7.3904 -1.9902
Se -0.9503 -5.6463 -2.8271
Se -5.9017 -3.1678 0.5580
Se -4.3883 -6.2660 -1.4979
Na -7.9464 -5.2604 -0.4510
Se -9.3397 -3.7874 1.8872
Se -6.7747 -7.2096 1.6710
Na -2.3436 -4.1734 -0.4889
Ho 0.0000 0.0000 0.0000
Ho -4.9185 -0.8865 1.9016
Se -3.5153 -2.2241 -2.6108
```

M_tot = 2.86 μB/f.u.
Calculated volume = 23.99 Å³ per atom
Raw total energy = -59.9 eV/cell
Polymorph energy (0 for the lowest one) = 15 meV per atom

***

Copy entry 2 word for word.
Computed, not measured: crystalline LiCdCuGe at its relaxed geometry at the PBE level of DFT.

Geometry as extended XYZ:
```
4
Lattice="0.0000 3.1933 3.1933 3.1933 0.0000 3.1933 3.1933 3.1933 0.0000" Properties=species:S:1:pos:R:3 pbc="T T T"
Cu 4.7900 4.7900 4.7900
Ge 0.0000 0.0000 0.0000
Li 3.1933 3.1933 3.1933
Cd 1.5967 1.5967 1.5967
```

Calculated volume = 16.28 Å³ per atom
Raw total energy = -11.3 eV/cell
Polymorph energy (0 for the lowest one) = 56 meV per atom

***

Which value of calculated volume does entry 1 give?
18.86 Å³ per atom